Record 1
LiZr2Ag (PBE-GGA, relaxed); size of the total moment = 0.000 μB per atom; E_tot = -5.27 eV per atom
1.0
4.1662 0.0000 0.0000
0.0000 4.1662 0.0000
0.0000 0.0000 9.0643
Li Zr Ag
2 4 2
direct
0.0000 0.0000 0.0000
0.5000 0.5000 0.5000
0.0000 0.0000 0.5000
0.0000 0.5000 0.7500
0.5000 0.0000 0.2500
0.5000 0.5000 0.0000
0.0000 0.5000 0.2500
0.5000 0.0000 0.7500

=====

Record 2
LiZr2Ag2 (PBE-GGA, relaxed); size of the total moment = 0.000 μB per atom; E_tot = -4.69 eV per atom
1.0
4.0457 0.0000 0.0000
0.0000 4.0457 0.0000
0.0000 0.0000 14.0203
Li Zr Ag
2 4 4
direct
0.0000 0.0000 0.0000
0.5000 0.5000 0.5000
0.0000 0.5000 0.2500
0.0000 0.5000 0.7500
0.5000 0.0000 0.2500
0.5000 0.0000 0.7500
0.0000 0.0000 0.4043
0.0000 0.0000 0.5957
0.5000 0.5000 0.0957
0.5000 0.5000 0.9043

=====

Record 3
LiZr3Ag (PBE-GGA, relaxed); size of the total moment = 0.000 μB per atom; E_tot = -5.33 eV per atom
1.0
4.7141 0.0000 0.0000
0.0000 4.7141 0.0000
0.0000 0.0000 4.7141
Li Zr Ag
1 3 1
direct
0.0000 0.0000 0.0000
0.0000 0.0000 0.5000
0.0000 0.5000 0.0000
0.5000 0.0000 0.0000
0.5000 0.5000 0.5000

=====

Record 4
LiZr2Ag2 (PBE-GGA, relaxed); size of the total moment = 0.177 μB per atom; E_tot = -4.46 eV per atom
1.0
3.7471 0.0000 0.0000
0.0000 3.7471 0.0000
0.0000 0.0000 15.4609
Li Zr Ag
2 4 4
direct
0.0000 0.0000 0.0000
0.5000 0.5000 0.5000
0.0000 0.0000 0.4028
0.0000 0.0000 0.5972
0.5000 0.5000 0.0972
0.5000 0.5000 0.9028
0.0000 0.5000 0.2500
0.0000 0.5000 0.7500
0.5000 0.0000 0.2500
0.5000 0.0000 0.7500

=====

Record 5
LiZr2Ag (PBE-GGA, relaxed); size of the total moment = 0.000 μB per atom; E_tot = -5.28 eV per atom
1.0
3.0011 0.0000 0.0000
-1.5005 2.5990 0.0000
0.0000 0.0000 32.0188
Li Zr Ag
3 6 3
direct
0.0000 0.0000 0.0000
0.3333 0.6667 0.6667
0.6667 0.3333 0.3333
0.0000 0.0000 0.2468
0.0000 0.0000 0.7532
0.3333 0.6667 0.4199
0.3333 0.6667 0.9135
0.6667 0.3333 0.0865
0.6667 0.3333 0.5801
0.0000 0.0000 0.5000
0.3333 0.6667 0.1667
0.6667 0.3333 0.8333

=====

Record 6
Li2ZrAg (PBE-GGA, relaxed); size of the total moment = 0.000 μB per atom; E_tot = -3.75 eV per atom
1.0
2.8786 0.0000 0.0000
0.0000 2.8786 0.0000
0.0000 0.0000 8.9495
Li Zr Ag
2 1 1
direct
0.0000 0.0000 0.2160
0.0000 0.0000 0.7840
0.5000 0.5000 0.5000
0.5000 0.5000 0.0000

=====

Sequential energy relative to the lowest polymorph listed for this composition output: 0.236 0.132 0.000 0.363 0.226 0.027 eV per atom